(1)
! Nb2Ni2Ag | the Alexandria database | PBE | relaxed; values from VASP
! Formation energy from the elements in kJ per mole of atoms: -4.7
! DOS(E_F) in states/eV/cell: 7.536
! E above lowest polymorph in eV/atom: 0.0000
! SG: No. 127
&SYSTEM
  ibrav = 0, nat = 10, ntyp = 3
/
ATOMIC_SPECIES
Nb 92.91 Nb.upf
Ni 58.69 Ni.upf
Ag 107.87 Ag.upf
ATOMIC_POSITIONS crystal
Nb 0.171 0.329 0.000
Nb 0.329 0.829 0.000
Nb 0.671 0.171 0.000
Nb 0.829 0.671 0.000
Ni 0.123 0.623 0.500
Ni 0.377 0.123 0.500
Ni 0.623 0.877 0.500
Ni 0.877 0.377 0.500
Ag 0.000 0.000 0.500
Ag 0.500 0.500 0.500
CELL_PARAMETERS angstrom
7.360 0.000 0.000
0.000 7.360 0.000
0.000 0.000 2.827


(2)
! AcPm6Tl2 | the Alexandria database | PBE | relaxed; values from VASP
! Formation energy from the elements in kJ per mole of atoms: -9.7
! DOS(E_F) in states/eV/cell: 10.954
! E above lowest polymorph in eV/atom: 0.0381
! SG: No. 123
&SYSTEM
  ibrav = 0, nat = 9, ntyp = 3
/
ATOMIC_SPECIES
Ac 227.00 Ac.upf
Pm 145.00 Pm.upf
Tl 204.38 Tl.upf
ATOMIC_POSITIONS crystal
Ac 0.000 0.000 0.000
Pm 0.000 0.000 0.500
Pm 0.000 0.500 0.284
Pm 0.000 0.500 0.716
Pm 0.500 0.000 0.284
Pm 0.500 0.000 0.716
Pm 0.500 0.500 0.500
Tl 0.500 0.500 0.117
Tl 0.500 0.500 0.883
CELL_PARAMETERS angstrom
4.984 0.000 0.000
0.000 4.984 0.000
0.000 0.000 12.486


(3)
! KCaMnI5 | the Alexandria database | PBE | relaxed; values from VASP
! DOS(E_F) in states/eV/cell: 0.000
! SG: No. 15
! DFT total energy in eV per atom: -3.627
&SYSTEM
  ibrav = 0, nat = 16, ntyp = 4
/
ATOMIC_SPECIES
K 39.10 K.upf
Ca 40.08 Ca.upf
Mn 54.94 Mn.upf
I 126.90 I.upf
ATOMIC_POSITIONS crystal
K 0.150 0.850 0.750
K 0.850 0.150 0.250
Ca 0.500 0.500 0.000
Ca 0.500 0.500 0.500
Mn 0.183 0.817 0.250
Mn 0.817 0.183 0.750
I 0.115 0.244 0.938
I 0.165 0.582 0.373
I 0.244 0.115 0.438
I 0.411 0.589 0.750
I 0.418 0.835 0.127
I 0.582 0.165 0.873
I 0.589 0.411 0.250
I 0.756 0.885 0.562
I 0.835 0.418 0.627
I 0.885 0.756 0.062
CELL_PARAMETERS angstrom
5.180 -6.762 0.000
5.180 6.762 0.000
-4.564 0.000 10.340


(4)
! KAcCoCl6 | the Alexandria database | PBE | relaxed; values from VASP
! DOS(E_F) in states/eV/cell: 2.051
! SG: No. 163
! DFT total energy in eV per atom: -4.266
&SYSTEM
  ibrav = 0, nat = 18, ntyp = 4
/
ATOMIC_SPECIES
K 39.10 K.upf
Ac 227.00 Ac.upf
Co 58.93 Co.upf
Cl 35.45 Cl.upf
ATOMIC_POSITIONS crystal
K 0.000 0.000 0.000
K 0.000 0.000 0.500
Ac 0.333 0.667 0.250
Ac 0.667 0.333 0.750
Co 0.333 0.667 0.750
Co 0.667 0.333 0.250
Cl 0.045 0.384 0.642
Cl 0.045 0.661 0.858
Cl 0.339 0.384 0.858
Cl 0.339 0.955 0.642
Cl 0.384 0.045 0.142
Cl 0.384 0.339 0.358
Cl 0.616 0.661 0.642
Cl 0.616 0.955 0.858
Cl 0.661 0.045 0.358
Cl 0.661 0.616 0.142
Cl 0.955 0.339 0.142
Cl 0.955 0.616 0.358
CELL_PARAMETERS angstrom
7.029 0.000 0.000
-3.515 6.088 0.000
0.000 0.000 13.526


(5)
! BaIrOs2Br | the Alexandria database | PBE | relaxed; values from VASP
! DOS(E_F) in states/eV/cell: 7.878
! SG: No. 123
! DFT total energy in eV per atom: -5.248
&SYSTEM
  ibrav = 0, nat = 5, ntyp = 4
/
ATOMIC_SPECIES
Ba 137.33 Ba.upf
Ir 192.22 Ir.upf
Os 190.23 Os.upf
Br 79.90 Br.upf
ATOMIC_POSITIONS crystal
Ba 0.000 0.000 0.000
Ir 0.500 0.500 0.000
Os 0.000 0.500 0.500
Os 0.500 0.000 0.500
Br 0.500 0.500 0.500
CELL_PARAMETERS angstrom
4.735 0.000 0.000
0.000 4.735 0.000
0.000 0.000 4.893


(6)
! CdAg3Sn5 | the Alexandria database | PBE | relaxed; values from VASP
! Formation energy from the elements in kJ per mole of atoms: 17.1
! DOS(E_F) in states/eV/cell: 5.682
! SG: No. 12
&SYSTEM
  ibrav = 0, nat = 18, ntyp = 3
/
ATOMIC_SPECIES
Cd 112.41 Cd.upf
Ag 107.87 Ag.upf
Sn 118.71 Sn.upf
ATOMIC_POSITIONS crystal
Cd 0.118 0.118 0.318
Cd 0.882 0.882 0.682
Ag 0.000 0.000 0.000
Ag 0.000 0.000 0.500
Ag 0.283 0.283 0.839
Ag 0.378 0.378 0.403
Ag 0.622 0.622 0.597
Ag 0.717 0.717 0.161
Sn 0.020 0.600 0.401
Sn 0.239 0.239 0.088
Sn 0.299 0.701 0.000
Sn 0.400 0.980 0.599
Sn 0.462 0.462 0.732
Sn 0.538 0.538 0.268
Sn 0.600 0.020 0.401
Sn 0.701 0.299 0.000
Sn 0.761 0.761 0.912
Sn 0.980 0.400 0.599
CELL_PARAMETERS angstrom
6.348 -4.586 0.000
6.348 4.586 0.000
-4.497 0.000 8.687


(7)
! Pm2HoRh2 | the Alexandria database | PBE | relaxed; values from VASP
! Formation energy from the elements in kJ per mole of atoms: -61.9
! DOS(E_F) in states/eV/cell: 5.770
! E above lowest polymorph in eV/atom: 0.0052
! SG: No. 36
&SYSTEM
  ibrav = 0, nat = 10, ntyp = 3
/
ATOMIC_SPECIES
Pm 145.00 Pm.upf
Ho 164.93 Ho.upf
Rh 102.91 Rh.upf
ATOMIC_POSITIONS crystal
Pm 0.099 0.901 0.500
Pm 0.361 0.639 0.679
Pm 0.639 0.361 0.179
Pm 0.901 0.099 0.000
Ho 0.351 0.649 0.312
Ho 0.649 0.351 0.812
Rh 0.008 0.992 0.755
Rh 0.241 0.759 0.991
Rh 0.759 0.241 0.491
Rh 0.992 0.008 0.255
CELL_PARAMETERS angstrom
1.980 -6.522 0.000
1.980 6.522 0.000
0.000 0.000 9.909


(8)
! Be3Co12Ru5 | the Alexandria database | PBE | relaxed; values from VASP
! Formation energy from the elements in kJ per mole of atoms: 81.6
! DOS(E_F) in states/eV/cell: 91.803
! SG: No. 230
&SYSTEM
  ibrav = 0, nat = 80, ntyp = 3
/
ATOMIC_SPECIES
Be 9.01 Be.upf
Co 58.93 Co.upf
Ru 101.07 Ru.upf
ATOMIC_POSITIONS crystal
Be 0.125 0.250 0.375
Be 0.125 0.375 0.750
Be 0.250 0.375 0.125
Be 0.250 0.875 0.625
Be 0.375 0.125 0.250
Be 0.375 0.750 0.125
Be 0.625 0.250 0.875
Be 0.625 0.875 0.750
Be 0.750 0.125 0.375
Be 0.750 0.625 0.875
Be 0.875 0.625 0.250
Be 0.875 0.750 0.625
Co 0.057 0.632 0.391
Co 0.057 0.925 0.667
Co 0.075 0.241 0.132
Co 0.075 0.333 0.943
Co 0.109 0.741 0.667
Co 0.109 0.868 0.443
Co 0.132 0.075 0.241
Co 0.132 0.557 0.891
Co 0.167 0.241 0.609
Co 0.167 0.425 0.557
Co 0.241 0.132 0.075
Co 0.241 0.609 0.167
Co 0.259 0.333 0.891
Co 0.259 0.425 0.368
Co 0.333 0.891 0.259
Co 0.333 0.943 0.075
Co 0.368 0.259 0.425
Co 0.368 0.609 0.943
Co 0.391 0.057 0.632
Co 0.391 0.833 0.759
Co 0.425 0.368 0.259
Co 0.425 0.557 0.167
Co 0.443 0.109 0.868
Co 0.443 0.833 0.575
Co 0.557 0.167 0.425
Co 0.557 0.891 0.132
Co 0.575 0.443 0.833
Co 0.575 0.632 0.741
Co 0.609 0.167 0.241
Co 0.609 0.943 0.368
Co 0.632 0.391 0.057
Co 0.632 0.741 0.575
Co 0.667 0.057 0.925
Co 0.667 0.109 0.741
Co 0.741 0.575 0.632
Co 0.741 0.667 0.109
Co 0.759 0.391 0.833
Co 0.759 0.868 0.925
Co 0.833 0.575 0.443
Co 0.833 0.759 0.391
Co 0.868 0.443 0.109
Co 0.868 0.925 0.759
Co 0.891 0.132 0.557
Co 0.891 0.259 0.333
Co 0.925 0.667 0.057
Co 0.925 0.759 0.868
Co 0.943 0.075 0.333
Co 0.943 0.368 0.609
Ru 0.000 0.000 0.000
Ru 0.000 0.000 0.500
Ru 0.000 0.500 0.000
Ru 0.000 0.500 0.500
Ru 0.125 0.750 0.875
Ru 0.125 0.875 0.250
Ru 0.250 0.125 0.875
Ru 0.250 0.625 0.375
Ru 0.375 0.250 0.625
Ru 0.375 0.625 0.750
Ru 0.500 0.000 0.000
Ru 0.500 0.000 0.500
Ru 0.500 0.500 0.000
Ru 0.500 0.500 0.500
Ru 0.625 0.375 0.250
Ru 0.625 0.750 0.375
Ru 0.750 0.375 0.625
Ru 0.750 0.875 0.125
Ru 0.875 0.125 0.750
Ru 0.875 0.250 0.125
CELL_PARAMETERS angstrom
-6.465 6.465 6.465
6.465 -6.465 6.465
6.465 6.465 -6.465